Record 1
TbY6Ho2Er | PBE | relaxed

a = 8.7573 Å, b = 8.7573 Å, c = 9.5917 Å
α = 94.23°, β = 94.23°, γ = 117.56°
Last column: nearest neighbours and their distance in Å.
Element x y z (fractional)
Tb  0.0236  0.9764  0.7500  4 Ho 3.38-3.39, 4 Y 3.54-3.64
Tb  0.9764  0.0236  0.2500  4 Ho 3.38-3.39, 4 Y 3.54-3.64
Y  0.0160  0.5691  0.6840  3 Y 3.24-3.59, 2 Ho 3.38-3.63, 1 Er 3.44, 1 Tb 3.54
Y  0.1223  0.7529  0.0561  7 Y 3.40-3.74, 1 Ho 3.47, 1 Tb 3.64
Y  0.2471  0.8777  0.4439  7 Y 3.40-3.74, 1 Ho 3.47, 1 Tb 3.64
Y  0.2925  0.5052  0.8818  4 Y 3.24-3.54, 3 Ho 3.25-3.42, 2 Er 3.40-3.53
Y  0.4309  0.9840  0.8160  3 Y 3.24-3.59, 2 Ho 3.38-3.63, 1 Er 3.44, 1 Tb 3.54
Y  0.4948  0.7074  0.6182  4 Y 3.24-3.54, 3 Ho 3.25-3.42, 2 Er 3.40-3.53
Y  0.5052  0.2925  0.3818  4 Y 3.24-3.54, 3 Ho 3.25-3.42, 2 Er 3.40-3.53
Y  0.5691  0.0160  0.1840  3 Y 3.24-3.59, 2 Ho 3.38-3.63, 1 Er 3.44, 1 Tb 3.54
Y  0.7074  0.4948  0.1182  4 Y 3.24-3.54, 3 Ho 3.25-3.42, 2 Er 3.40-3.53
Y  0.7529  0.1223  0.5561  7 Y 3.40-3.74, 1 Ho 3.47, 1 Tb 3.64
Y  0.8777  0.2471  0.9439  7 Y 3.40-3.74, 1 Ho 3.47, 1 Tb 3.64
Y  0.9840  0.4309  0.3160  3 Y 3.24-3.59, 2 Ho 3.38-3.63, 1 Er 3.44, 1 Tb 3.54
Ho  0.1970  0.2996  0.5460  6 Y 3.25-3.63, 2 Tb 3.38-3.39, 1 Er 3.51
Ho  0.2996  0.1970  0.0460  6 Y 3.25-3.63, 2 Tb 3.38-3.39, 1 Er 3.51
Ho  0.7004  0.8030  0.9540  6 Y 3.25-3.63, 2 Tb 3.38-3.39, 1 Er 3.51
Ho  0.8030  0.7004  0.4540  6 Y 3.25-3.63, 2 Tb 3.38-3.39, 1 Er 3.51
Er  0.4087  0.5913  0.2500  6 Y 3.40-3.53, 2 Ho 3.51
Er  0.5913  0.4087  0.7500  6 Y 3.40-3.53, 2 Ho 3.51

Calculated values
* D(E_F): 1.513 states/eV/atom
* ΔE_f: 0.12 eV per atom
* total moment: 0.00 μB/atom
* symmetry: C2/c (15)

Record 2
Ni6MoRh2 | PBE | relaxed

a = 4.8654 Å, b = 4.8654 Å, c = 9.5118 Å
α = 96.56°, β = 96.56°, γ = 94.02°
Last column: nearest neighbours and their distance in Å.
Element x y z (fractional)
Ni  0.1068  0.7926  0.5059  5 Ni 2.33-2.51, 2 Rh 2.50-2.53, 1 Mo 2.56
Ni  0.1854  0.4915  0.6768  4 Ni 2.33-2.50, 2 Rh 2.44-2.47
Ni  0.2074  0.8932  0.9941  5 Ni 2.33-2.51, 2 Rh 2.50-2.53, 1 Mo 2.56
Ni  0.3261  0.3725  0.4055  7 Ni 2.47-2.75, 1 Mo 2.54, 3 Rh 2.61-2.69
Ni  0.3725  0.3261  0.9055  7 Ni 2.47-2.75, 1 Mo 2.54, 3 Rh 2.61-2.69
Ni  0.4915  0.1854  0.1768  4 Ni 2.33-2.50, 2 Rh 2.44-2.47
Ni  0.5085  0.8146  0.8232  4 Ni 2.33-2.50, 2 Rh 2.44-2.47
Ni  0.6275  0.6739  0.0945  7 Ni 2.47-2.75, 1 Mo 2.54, 3 Rh 2.61-2.69
Ni  0.6739  0.6275  0.5945  7 Ni 2.47-2.75, 1 Mo 2.54, 3 Rh 2.61-2.69
Ni  0.7926  0.1068  0.0059  5 Ni 2.33-2.51, 2 Rh 2.50-2.53, 1 Mo 2.56
Ni  0.8146  0.5085  0.3232  4 Ni 2.33-2.50, 2 Rh 2.44-2.47
Ni  0.8932  0.2074  0.4941  5 Ni 2.33-2.51, 2 Rh 2.50-2.53, 1 Mo 2.56
Mo  0.0051  0.9949  0.2500  10 Ni 2.54-2.77, 2 Rh 2.67
Mo  0.9949  0.0051  0.7500  10 Ni 2.54-2.77, 2 Rh 2.67
Rh  0.1281  0.4992  0.1360  7 Ni 2.44-2.69, 1 Mo 2.67
Rh  0.4992  0.1281  0.6360  7 Ni 2.44-2.69, 1 Mo 2.67
Rh  0.5008  0.8719  0.3640  7 Ni 2.44-2.69, 1 Mo 2.67
Rh  0.8719  0.5008  0.8640  7 Ni 2.44-2.69, 1 Mo 2.67

Calculated values
* D(E_F): 1.625 states/eV/atom
* ΔE_f: 0.07 eV per atom
* total moment: 0.08 μB/atom
* symmetry: C2/c (15)

Record 3
Dy4Cd3Tc | PBE | relaxed

a = 3.5620 Å, b = 3.5620 Å, c = 15.5478 Å
α = 90.00°, β = 90.00°, γ = 90.00°
Last column: nearest neighbours and their distance in Å.
Element x y z (fractional)
Dy  0.0000  0.0000  0.1032  4 Tc 2.99, 1 Dy 3.21, 4 Cd 3.29
Dy  0.0000  0.0000  0.3696  8 Cd 3.23, 4 Dy 3.56
Dy  0.0000  0.0000  0.6304  8 Cd 3.23, 4 Dy 3.56
Dy  0.0000  0.0000  0.8968  4 Tc 2.99, 1 Dy 3.21, 4 Cd 3.29
Cd  0.5000  0.5000  0.2397  8 Dy 3.23-3.29, 4 Cd 3.56
Cd  0.5000  0.5000  0.5000  8 Dy 3.23, 4 Cd 3.56
Cd  0.5000  0.5000  0.7603  8 Dy 3.23-3.29, 4 Cd 3.56
Tc  0.5000  0.5000  0.0000  8 Dy 2.99

Calculated values
* D(E_F): 1.047 states/eV/atom
* ΔE_f: -0.25 eV per atom
* total moment: 0.01 μB/atom
* symmetry: P4/mmm (123)

Record 4
PrAlZn2Pt4 | PBE | relaxed

a = 8.9807 Å, b = 8.9807 Å, c = 8.9807 Å
α = 28.03°, β = 28.03°, γ = 28.03°
Last column: nearest neighbours and their distance in Å.
Element x y z (fractional)
Pr  0.0000  0.0000  0.0000  8 Pt 3.11-3.48, 6 Zn 3.44
Al  0.5000  0.5000  0.5000  8 Pt 2.48-2.65
Zn  0.2426  0.2426  0.2426  7 Pt 2.56-2.80
Zn  0.7574  0.7574  0.7574  7 Pt 2.56-2.80
Pt  0.1344  0.1344  0.1344  3 Al 2.65, 4 Zn 2.75-2.80
Pt  0.4040  0.4040  0.4040  1 Al 2.48, 3 Zn 2.56
Pt  0.5960  0.5960  0.5960  1 Al 2.48, 3 Zn 2.56
Pt  0.8656  0.8656  0.8656  3 Al 2.65, 4 Zn 2.75-2.80

Calculated values
* D(E_F): 0.555 states/eV/atom
* ΔE_f: -0.82 eV per atom
* total moment: 0.00 μB/atom
* symmetry: R-3m (166)

Record 5
CsLiCN2 | PBE | relaxed

a = 6.1661 Å, b = 4.7170 Å, c = 6.1410 Å
α = 90.00°, β = 109.68°, γ = 90.00°
Last column: nearest neighbours and their distance in Å.
Element x y z (fractional)
Cs  0.0000  0.2445  0.2500  6 N 3.16-3.37, 2 C 3.18, 2 Li 3.31
Cs  0.0000  0.7555  0.7500  6 N 3.16-3.37, 2 C 3.18, 2 Li 3.31
Li  0.5000  0.0106  0.7500  4 N 2.14-2.18
Li  0.5000  0.9894  0.2500  4 N 2.14-2.18
C  0.5000  0.5000  0.0000  2 N 1.24
C  0.5000  0.5000  0.5000  2 N 1.24
N  0.3759  0.2848  0.9604  1 C 1.24
N  0.3759  0.7152  0.4604  1 C 1.24
N  0.6241  0.2848  0.5396  1 C 1.24
N  0.6241  0.7152  0.0396  1 C 1.24

Calculated values
* D(E_F): 0.000 states/eV/atom
* raw formation energy: -0.493 eV per atom
* total moment: 0.00 μB/atom
* symmetry: P2/c (13)

Record 6
Zn4AsBr | PBE | relaxed

a = 5.4098 Å, b = 5.4098 Å, c = 5.4098 Å
α = 60.00°, β = 60.00°, γ = 60.00°
Last column: nearest neighbours and their distance in Å.
Element x y z (fractional)
Zn  0.1244  0.1244  0.1244  6 Zn 2.69-2.72
Zn  0.1244  0.1244  0.6267  6 Zn 2.69-2.72
Zn  0.1244  0.6267  0.1244  6 Zn 2.69-2.72
Zn  0.6267  0.1244  0.1244  6 Zn 2.69-2.72
As  0.7500  0.7500  0.7500  12 Zn 3.17, 4 Br 3.31
Br  0.5000  0.5000  0.5000  12 Zn 3.17, 4 As 3.31

Calculated values
* D(E_F): 0.506 states/eV/atom
* raw formation energy: 0.215 eV per atom
* total moment: 0.00 μB/atom
* symmetry: F-43m (216)

Record 7
NaTl | PBE | relaxed

a = 8.7857 Å, b = 8.7857 Å, c = 8.7857 Å
α = 92.21°, β = 92.21°, γ = 157.35°
Last column: nearest neighbours and their distance in Å.
Element x y z (fractional)
Na  0.1182  0.3445  0.4627  4 Tl 3.28-3.33, 2 Na 3.45
Na  0.3445  0.8818  0.2264  4 Tl 3.28-3.33, 2 Na 3.45
Na  0.6555  0.1182  0.7736  4 Tl 3.28-3.33, 2 Na 3.45
Na  0.8818  0.6555  0.5373  4 Tl 3.28-3.33, 2 Na 3.45
Tl  0.0788  0.8395  0.9183  4 Tl 3.08-3.45, 4 Na 3.28-3.33
Tl  0.1605  0.0788  0.2394  4 Tl 3.08-3.45, 4 Na 3.28-3.33
Tl  0.8395  0.9212  0.7606  4 Tl 3.08-3.45, 4 Na 3.28-3.33
Tl  0.9212  0.1605  0.0817  4 Tl 3.08-3.45, 4 Na 3.28-3.33

Calculated values
* D(E_F): 0.401 states/eV/atom
* ΔE_f: 0.00 eV per atom
* total moment: 0.00 μB/atom
* symmetry: I4/m (87)

Record 8
NaPm3Np2N6 | PBE | relaxed

a = 7.7002 Å, b = 7.7002 Å, c = 7.1384 Å
α = 103.17°, β = 103.17°, γ = 26.75°
Last column: nearest neighbours and their distance in Å.
Element x y z (fractional)
Na  0.0000  0.0000  0.0000  6 N 2.55-2.63
Pm  0.0000  0.0000  0.5000  6 N 2.45-2.56
Pm  0.3393  0.3393  0.1566  6 N 2.41-2.67
Pm  0.6607  0.6607  0.8434  6 N 2.41-2.67
Np  0.3334  0.3334  0.6707  2 N 2.11-2.30
Np  0.6666  0.6666  0.3293  2 N 2.11-2.30
N  0.1746  0.1746  0.1081  2 Np 2.40, 3 Pm 2.41-2.57, 1 Na 2.55
N  0.1755  0.1755  0.5789  3 Np 2.30-2.50, 1 Pm 2.56
N  0.4781  0.4781  0.7212  1 Np 2.11
N  0.5219  0.5219  0.2788  1 Np 2.11
N  0.8245  0.8245  0.4211  3 Np 2.30-2.50, 1 Pm 2.56
N  0.8254  0.8254  0.8919  2 Np 2.40, 3 Pm 2.41-2.57, 1 Na 2.55

Calculated values
* D(E_F): 0.898 states/eV/atom
* raw formation energy: -1.136 eV per atom
* total moment: 0.46 μB/atom
* symmetry: C2/m (12)

Record 9
AcZn3Ga4 | PBE | relaxed

a = 4.4855 Å, b = 4.4855 Å, c = 7.9821 Å
α = 90.00°, β = 90.00°, γ = 90.00°
Last column: nearest neighbours and their distance in Å.
Element x y z (fractional)
Ac  0.0000  0.0000  0.0000  8 Zn 3.40, 8 Ga 3.44
Zn  0.0000  0.0000  0.5000  8 Ga 2.63
Zn  0.5000  0.5000  0.1551  1 Zn 2.48, 4 Ga 2.63
Zn  0.5000  0.5000  0.8449  1 Zn 2.48, 4 Ga 2.63
Ga  0.0000  0.5000  0.3275  4 Zn 2.63, 1 Ga 2.75
Ga  0.0000  0.5000  0.6725  4 Zn 2.63, 1 Ga 2.75
Ga  0.5000  0.0000  0.3275  4 Zn 2.63, 1 Ga 2.75
Ga  0.5000  0.0000  0.6725  4 Zn 2.63, 1 Ga 2.75

Calculated values
* D(E_F): 0.239 states/eV/atom
* ΔE_f: -0.30 eV per atom
* total moment: 0.00 μB/atom
* symmetry: P4/mmm (123)

Record 10
La6CeTm8 | PBE | relaxed

a = 8.7694 Å, b = 8.7694 Å, c = 8.7694 Å
α = 61.83°, β = 61.83°, γ = 61.83°
Last column: nearest neighbours and their distance in Å.
Element x y z (fractional)
La  0.0390  0.5889  0.7338  4 Tm 3.35-3.55, 1 Ce 3.44, 2 La 3.59
La  0.2662  0.9610  0.4111  4 Tm 3.35-3.55, 1 Ce 3.44, 2 La 3.59
La  0.4111  0.2662  0.9610  4 Tm 3.35-3.55, 1 Ce 3.44, 2 La 3.59
La  0.5889  0.7338  0.0390  4 Tm 3.35-3.55, 1 Ce 3.44, 2 La 3.59
La  0.7338  0.0390  0.5889  4 Tm 3.35-3.55, 1 Ce 3.44, 2 La 3.59
La  0.9610  0.4111  0.2662  4 Tm 3.35-3.55, 1 Ce 3.44, 2 La 3.59
Ce  0.5000  0.5000  0.5000  6 La 3.44, 6 Tm 3.54
Tm  0.0766  0.0766  0.0766  4 Tm 3.24-3.40, 3 La 3.55
Tm  0.1978  0.6144  0.2735  3 La 3.35-3.52, 5 Tm 3.40-3.47, 1 Ce 3.54
Tm  0.2735  0.1978  0.6145  3 La 3.35-3.52, 5 Tm 3.40-3.47, 1 Ce 3.54
Tm  0.3856  0.7265  0.8022  3 La 3.35-3.52, 5 Tm 3.40-3.47, 1 Ce 3.54
Tm  0.6144  0.2735  0.1978  3 La 3.35-3.52, 5 Tm 3.40-3.47, 1 Ce 3.54
Tm  0.7265  0.8022  0.3856  3 La 3.35-3.52, 5 Tm 3.40-3.47, 1 Ce 3.54
Tm  0.8022  0.3856  0.7265  3 La 3.35-3.52, 5 Tm 3.40-3.47, 1 Ce 3.54
Tm  0.9234  0.9234  0.9234  4 Tm 3.24-3.40, 3 La 3.55

Calculated values
* D(E_F): 1.733 states/eV/atom
* ΔE_f: 0.12 eV per atom
* total moment: 0.08 μB/atom
* symmetry: R-3 (148)

Record 11
BiO2 | PBE | relaxed

a = 6.1046 Å, b = 6.9133 Å, c = 12.6944 Å
α = 90.00°, β = 90.34°, γ = 90.00°
Last column: nearest neighbours and their distance in Å.
Element x y z (fractional)
Bi  0.0000  0.0000  0.0000  6 O 2.11-2.23
Bi  0.0000  0.0000  0.5000  6 O 2.11-2.23
Bi  0.0000  0.5000  0.0000  6 O 2.11-2.23
Bi  0.0000  0.5000  0.5000  6 O 2.11-2.23
Bi  0.4900  0.2500  0.4582  6 O 2.29-2.48
Bi  0.4911  0.2500  0.0420  6 O 2.29-2.48
Bi  0.5089  0.7500  0.9580  6 O 2.29-2.48
Bi  0.5100  0.7500  0.5418  6 O 2.29-2.48
O  0.1014  0.2500  0.4010  3 Bi 2.23-2.48
O  0.1037  0.2500  0.0990  3 Bi 2.23-2.48
O  0.1787  0.7500  0.4294  3 Bi 2.23-2.47
O  0.1805  0.7500  0.0705  3 Bi 2.23-2.47
O  0.3100  0.0428  0.9304  2 Bi 2.11-2.29
O  0.3100  0.4572  0.9304  2 Bi 2.11-2.29
O  0.3116  0.0427  0.5697  2 Bi 2.11-2.29
O  0.3116  0.4573  0.5697  2 Bi 2.11-2.29
O  0.6884  0.5427  0.4303  2 Bi 2.11-2.29
O  0.6884  0.9573  0.4303  2 Bi 2.11-2.29
O  0.6900  0.5428  0.0696  2 Bi 2.11-2.29
O  0.6900  0.9572  0.0696  2 Bi 2.11-2.29
O  0.8195  0.2500  0.9295  3 Bi 2.23-2.47
O  0.8213  0.2500  0.5706  3 Bi 2.23-2.47
O  0.8963  0.7500  0.9010  3 Bi 2.23-2.48
O  0.8986  0.7500  0.5990  3 Bi 2.23-2.48

Calculated values
* raw formation energy: -0.827 eV per atom
* total moment: 0.00 μB/atom
* symmetry: P2_1/m (11)

Record 12
NiPd2Ru | PBE | relaxed

a = 4.3314 Å, b = 4.3314 Å, c = 4.3314 Å
α = 60.00°, β = 60.00°, γ = 60.00°
Last column: nearest neighbours and their distance in Å.
Element x y z (fractional)
Ni  0.0000  0.0000  0.0000  8 Pd 2.65
Pd  0.2500  0.2500  0.2500  4 Ni 2.65, 4 Ru 2.65
Pd  0.7500  0.7500  0.7500  4 Ru 2.65, 4 Ni 2.65
Ru  0.5000  0.5000  0.5000  8 Pd 2.65

Calculated values
* D(E_F): 1.409 states/eV/atom
* ΔE_f: 0.34 eV per atom
* total moment: 0.60 μB/atom
* symmetry: Fm-3m (225)

> total moment of number 1 (TbY6Ho2Er)?

0.00 μB/atom

> total moment of number 7 (NaTl)?

0.00 μB/atom

> Look up the total moment of the twelfth one.

0.60 μB/atom